Entry 1:
Computed, not measured: a relaxed structure of Na3Pu2ThSe6 at the PBE level of DFT.

a b c (Å): 7.3684 7.3684 7.3923
angles (deg): 99.56 99.56 120.00
With the nearest neighbours (Å) after each atom.
Sites, in units of the cell vectors:
Se 0.7468 0.7468 0.2341  1 Th 2.94, 2 Pu 2.95, 3 Na 3.08-3.09
Pu 0.6666 0.3334 0.0000  6 Se 2.95-2.96
Se 0.0781 0.4093 0.2343  1 Th 2.94, 2 Pu 2.96, 3 Na 3.07-3.08
Se 0.4093 0.0781 0.2343  1 Th 2.94, 2 Pu 2.96, 3 Na 3.07-3.08
Se 0.2532 0.2532 0.7659  1 Th 2.94, 2 Pu 2.95, 3 Na 3.08-3.09
Se 0.5907 0.9219 0.7657  1 Th 2.94, 2 Pu 2.96, 3 Na 3.07-3.08
Na 0.1678 0.8322 0.5000  6 Se 3.07-3.08
Na 0.8322 0.1678 0.5000  6 Se 3.07-3.08
Th 0.0000 0.0000 0.0000  6 Se 2.94
Na 0.5000 0.5000 0.5000  6 Se 3.07-3.09
Se 0.9219 0.5907 0.7657  1 Th 2.94, 2 Pu 2.96, 3 Na 3.07-3.08
Pu 0.3334 0.6666 0.0000  6 Se 2.95-2.96

Results
Electronic total energy (eV per atom): -6.5527
SG: C2/m
Total magnetic moment (μB/f.u.): 11.00

Entry 2:
Computed, not measured: a relaxed structure of Na4PuTh3Se8 at the PBE level of DFT.

a b c (Å): 8.4006 8.6193 8.4010
angles (deg): 119.18 120.00 90.00
With the nearest neighbours (Å) after each atom.
Sites, in units of the cell vectors:
Na 0.0000 0.0000 0.0000  6 Se 3.04-3.06
Pu 0.0000 0.5000 0.0000  6 Se 2.98
Se 0.2521 0.2565 0.5041  3 Th 2.98, 3 Na 3.04
Th 0.5000 0.5000 0.5000  6 Se 2.96-2.98
Se 0.2475 0.7398 0.4951  2 Th 2.96, 1 Pu 2.98, 3 Na 3.04-3.06
Na 0.5000 0.0000 0.5000  6 Se 3.04-3.06
Se 0.7525 0.2602 0.5049  2 Th 2.96, 1 Pu 2.98, 3 Na 3.04-3.06
Se 0.2476 0.7398 0.9925  2 Th 2.96, 1 Pu 2.98, 3 Na 3.04-3.06
Se 0.7524 0.2602 0.0075  2 Th 2.96, 1 Pu 2.98, 3 Na 3.04-3.06
Se 0.7450 0.7398 0.9925  2 Th 2.96, 1 Pu 2.98, 3 Na 3.04-3.06
Na 0.5000 0.0000 0.0000  6 Se 3.04
Se 0.7479 0.7435 0.4959  3 Th 2.98, 3 Na 3.04
Na 0.0000 0.0000 0.5000  6 Se 3.04-3.06
Th 0.0000 0.5000 0.5000  6 Se 2.96-2.98
Th 0.5000 0.5000 0.0000  6 Se 2.96-2.98
Se 0.2550 0.2602 0.0075  2 Th 2.96, 1 Pu 2.98, 3 Na 3.04-3.06

Results
Electronic total energy (eV per atom): -5.8375
SG: R-3m
Total magnetic moment (μB/f.u.): 6.50

Entry 3:
Computed, not measured: a relaxed structure of Na4Pu3ThSe8 at the PBE level of DFT.

a b c (Å): 8.4875 8.5126 8.4874
angles (deg): 119.91 120.00 90.00
With the nearest neighbours (Å) after each atom.
Sites, in units of the cell vectors:
Pu 0.0000 0.5000 0.5000  6 Se 2.92-2.95
Se 0.7427 0.7280 0.4854  3 Pu 2.92, 3 Na 3.10
Se 0.2439 0.7348 0.9910  1 Th 2.93, 2 Pu 2.95, 3 Na 3.06-3.08
Na 0.5000 0.0000 0.0000  6 Se 3.08
Se 0.7561 0.2652 0.0090  1 Th 2.93, 2 Pu 2.95, 3 Na 3.06-3.08
Pu 0.5000 0.5000 0.5000  6 Se 2.92-2.95
Pu 0.5000 0.5000 0.0000  6 Se 2.92-2.95
Th 0.0000 0.5000 0.0000  6 Se 2.93
Se 0.7561 0.2652 0.5122  1 Th 2.93, 2 Pu 2.95, 3 Na 3.06-3.08
Se 0.2529 0.2652 0.0090  1 Th 2.93, 2 Pu 2.95, 3 Na 3.06-3.08
Na 0.0000 0.0000 0.0000  6 Se 3.06-3.10
Na 0.5000 0.0000 0.5000  6 Se 3.06-3.10
Se 0.7471 0.7348 0.9910  1 Th 2.93, 2 Pu 2.95, 3 Na 3.06-3.08
Se 0.2439 0.7348 0.4878  1 Th 2.93, 2 Pu 2.95, 3 Na 3.06-3.08
Na 0.0000 0.0000 0.5000  6 Se 3.06-3.10
Se 0.2573 0.2720 0.5146  3 Pu 2.92, 3 Na 3.10

Results
Electronic total energy (eV per atom): -6.6872
SG: R-3m
Total magnetic moment (μB/f.u.): 16.00

Entry 4:
Computed, not measured: a relaxed structure of NaPu2Th3Se6 at the PBE level of DFT.

a b c (Å): 4.1514 8.4068 9.3694
angles (deg): 103.53 102.80 90.00
With the nearest neighbours (Å) after each atom.
Sites, in units of the cell vectors:
Se 0.3318 0.4247 0.6636  3 Pu 2.90-2.91, 3 Th 2.98-2.99
Se 0.6632 0.0836 0.3264  1 Na 2.89, 2 Pu 2.95, 3 Th 2.99-3.01
Se 0.6682 0.5753 0.3364  3 Pu 2.90-2.91, 3 Th 2.98-2.99
Pu 0.1676 0.3343 0.3353  6 Se 2.90-2.97
Se 0.9995 0.7544 0.9990  2 Na 2.93, 1 Pu 2.97, 3 Th 2.98
Th 0.5000 0.5000 0.0000  6 Se 2.98-2.99
Na 0.5000 0.0000 0.0000  6 Se 2.89-2.93
Th 0.8328 0.1701 0.6655  6 Se 2.98-3.01
Th 0.1672 0.8299 0.3345  6 Se 2.98-3.01
Se 0.3368 0.9164 0.6736  1 Na 2.89, 2 Pu 2.95, 3 Th 2.99-3.01
Pu 0.8324 0.6657 0.6647  6 Se 2.90-2.97
Se 0.0005 0.2456 0.0010  2 Na 2.93, 1 Pu 2.97, 3 Th 2.98

Results
Electronic total energy (eV per atom): -7.6172
SG: C2/m
Total magnetic moment (μB/f.u.): 11.34

Entry 5:
Computed, not measured: a relaxed structure of Na2PuThSe4 at the PBE level of DFT.

a b c (Å): 4.2482 7.3334 7.4309
angles (deg): 109.18 90.00 90.00
With the nearest neighbours (Å) after each atom.
Sites, in units of the cell vectors:
Se 0.0000 0.7477 0.2344  1 Th 2.93, 2 Pu 2.96, 3 Na 3.07-3.09
Na 0.5000 0.0000 0.5000  6 Se 3.04-3.07
Na 0.0000 0.5000 0.5000  6 Se 3.07-3.09
Se 0.0000 0.2523 0.7656  1 Th 2.93, 2 Pu 2.96, 3 Na 3.07-3.09
Se 0.5000 0.7570 0.7615  2 Th 2.96, 1 Pu 2.98, 3 Na 3.04-3.07
Pu 0.5000 0.5000 0.0000  6 Se 2.96-2.98
Se 0.5000 0.2430 0.2385  2 Th 2.96, 1 Pu 2.98, 3 Na 3.04-3.07
Th 0.0000 0.0000 0.0000  6 Se 2.93-2.96

Results
Electronic total energy (eV per atom): -6.2740
SG: P2/m
Total magnetic moment (μB/f.u.): 5.99

Entry 6:
Computed, not measured: a relaxed structure of Na3PuTi2Se6 at the PBE level of DFT.

a b c (Å): 6.7702 6.7702 7.3781
angles (deg): 98.89 98.89 120.16
With the nearest neighbours (Å) after each atom.
Sites, in units of the cell vectors:
Se 0.4308 0.0735 0.2188  2 Ti 2.65-2.66, 1 Pu 2.86, 1 Na 2.93
Na 0.5000 0.5000 0.5000  6 Se 2.89-3.06
Na 0.1597 0.8403 0.5000  6 Se 2.93-3.07
Na 0.8403 0.1597 0.5000  6 Se 2.93-3.07
Se 0.7149 0.7149 0.2167  2 Ti 2.68, 1 Pu 2.86, 1 Na 2.89
Se 0.9265 0.5692 0.7812  2 Ti 2.65-2.66, 1 Pu 2.86, 1 Na 2.93
Ti 0.6689 0.3311 0.0000  6 Se 2.65-2.68
Ti 0.3311 0.6689 0.0000  6 Se 2.65-2.68
Pu 0.0000 0.0000 0.0000  6 Se 2.86
Se 0.5692 0.9265 0.7812  2 Ti 2.65-2.66, 1 Pu 2.86, 1 Na 2.93
Se 0.0735 0.4308 0.2188  2 Ti 2.65-2.66, 1 Pu 2.86, 1 Na 2.93
Se 0.2851 0.2851 0.7833  2 Ti 2.68, 1 Pu 2.86, 1 Na 2.89

Results
Electronic total energy (eV per atom): -5.8208
SG: C2/m
Total magnetic moment (μB/f.u.): 7.00

Entry 7:
Computed, not measured: a relaxed structure of Na2PuTiSe4 at the PBE level of DFT.

a b c (Å): 3.9924 6.8693 7.3815
angles (deg): 108.15 90.00 90.00
With the nearest neighbours (Å) after each atom.
Sites, in units of the cell vectors:
Na 0.5000 0.0000 0.5000  6 Se 3.09-3.10
Se 0.5000 0.7372 0.7729  1 Ti 2.68, 2 Pu 2.86, 2 Na 2.94
Se 0.0000 0.2804 0.7840  2 Ti 2.70, 1 Pu 2.86, 1 Na 2.94
Se 0.5000 0.2628 0.2271  1 Ti 2.68, 2 Pu 2.86, 2 Na 2.94
Ti 0.5000 0.5000 0.0000  6 Se 2.68-2.70
Na 0.0000 0.5000 0.5000  6 Se 2.94
Pu 0.0000 0.0000 0.0000  6 Se 2.86
Se 0.0000 0.7196 0.2160  2 Ti 2.70, 1 Pu 2.86, 1 Na 2.94

Results
Electronic total energy (eV per atom): -6.1167
SG: P2/m
Total magnetic moment (μB/f.u.): 6.00

Entry 8:
Computed, not measured: a relaxed structure of Na2PuTlSe4 at the PBE level of DFT.

a b c (Å): 4.1927 7.4032 7.3853
angles (deg): 109.79 90.00 90.00
With the nearest neighbours (Å) after each atom.
Sites, in units of the cell vectors:
Na 0.0000 0.5000 0.5000  6 Se 3.01-3.02
Pu 0.5000 0.5000 0.0000  6 Se 2.86-2.87
Se 0.0000 0.2704 0.7671  2 Pu 2.87, 3 Na 3.01-3.10, 1 Tl 3.05
Se 0.5000 0.7408 0.7683  1 Pu 2.86, 2 Tl 2.96, 3 Na 3.02-3.19
Se 0.0000 0.7296 0.2329  2 Pu 2.87, 3 Na 3.01-3.10, 1 Tl 3.05
Tl 0.0000 0.0000 0.0000  6 Se 2.96-3.05
Se 0.5000 0.2592 0.2317  1 Pu 2.86, 2 Tl 2.96, 3 Na 3.02-3.19
Na 0.5000 0.0000 0.5000  6 Se 3.10-3.19

Results
Electronic total energy (eV per atom): -5.1262
SG: P2/m
Total magnetic moment (μB/f.u.): 4.45

Number 1: formation energy without anion corrections -1.474 eV/atom. Number 2: formation energy without anion corrections -1.479 eV/atom. Number 3: formation energy without anion corrections -1.464 eV/atom. Number 4: formation energy without anion corrections -1.521 eV/atom. Number 5: formation energy without anion corrections -1.483 eV/atom. Number 6: formation energy without anion corrections -1.239 eV/atom. Number 7: formation energy without anion corrections -1.266 eV/atom. Number 8: formation energy without anion corrections -0.967 eV/atom.